# 1
The following is a DFT calculation (PBE) of an optimized crystal structure of PrYEr4S8.

Calculated values
DOS at the Fermi energy (states/eV/cell): 24.7
Energy (eV per atom): -6.39
ΔE_f (raw) (meV/atom): -1921
Magnetic moment (μB per formula unit): 0.00

Lattice parameters (Å, degrees): 8.0488 8.0488 19.7956 90.00 90.00 120.00
Space group R3m (No. 160, hexagonal axes)
Asymmetric unit:
Pr  0.0000  0.0000  0.0000 x3
Y  0.0000  0.0000  0.6249 x3
Er  0.0000  0.0000  0.2511 x3
Er  0.0022  0.5011  0.1261 x9
S  0.0000  0.0000  0.3830 x3
S  0.0000  0.0000  0.8627 x3
S  0.0309  0.5155  0.3809 x9
S  0.1747  0.3494  0.2057 x9

# 2
The following is a DFT calculation (PBE) of an optimized crystal structure of PrDyCl.

Calculated values
DOS at the Fermi energy (states/eV/cell): 3.4
Energy (eV per atom): -4.65
ΔE_f (raw) (meV/atom): -903
Magnetic moment (μB per formula unit): 0.43

Lattice parameters (Å, degrees): 3.7261 3.7261 7.2698 90.00 90.00 120.00
Space group P3m1 (No. 156)
Asymmetric unit:
Pr  0.0000  0.0000  0.0000 x1
Dy  0.3333  0.6667  0.6171 x1
Cl  0.6667  0.3333  0.3316 x1